[1]
The following is a PBE calculation of an optimized crystal structure of NiRhCl2, from the Alexandria database.

Output
DFT total energy   -15.6 eV for the cell shown
D(E_F)   1.6225 states/eV/atom
V   68 Å³/f.u.
Space-group type   C2/m (12)

abc: 5.085 5.085 3.246
angles: 66.95 66.95 95.33
Fractional positions:
Rh (0.000, 0.500, 0.500)
Ni (0.500, 0.000, 0.500)
Cl (0.000, 0.000, 0.000)
Cl (0.500, 0.500, 0.000)

[2]
The following is a PBE calculation of an optimized crystal structure of NiRhCl2, from the Alexandria database.

Output
DFT total energy   -17.4 eV for the cell shown
D(E_F)   1.0749 states/eV/atom
V   79 Å³/f.u.
Space-group type   R3m (160)

abc: 7.368 7.368 7.368
angles: 28.24 28.24 28.24
Fractional positions:
Cl (0.038, 0.038, 0.038)
Cl (0.207, 0.207, 0.207)
Ni (0.492, 0.492, 0.492)
Rh (0.763, 0.763, 0.763)

Among the records above, which one has the lowest V? number 1

Among the records above, which one has the lowest DFT total energy? number 2

The lowest D(E_F) belongs to which entry? number 2

The lowest D(E_F) belongs to which entry? number 2